# 1
# Li3NbCu4O8 | the Alexandria database | GGA-PBE | optimized geometry
data_Li3NbCu4O8
_chemical_formula_sum 'Li6 Nb2 Cu8 O16'
_space_group_name_H-M_alt 'C 1 2/m 1'
_space_group_IT_number 12
_space_group_name_Hall '-C 2y'
_cell_length_a 11.049
_cell_length_b 5.725
_cell_length_c 5.914
_cell_angle_alpha 90.00
_cell_angle_beta 120.79
_cell_angle_gamma 90.00
loop_
_atom_site_label
_atom_site_type_symbol
_atom_site_fract_x
_atom_site_fract_y
_atom_site_fract_z
Li1 Li 0.000 0.000 0.000
Li2 Li 0.250 0.250 0.500
Nb1 Nb 0.000 0.500 0.500
Cu1 Cu 0.000 0.000 0.500
Cu2 Cu 0.000 0.500 0.000
Cu3 Cu 0.250 0.250 0.000
O1 O 0.024 0.243 0.290
O2 O 0.209 0.500 0.180
O3 O 0.217 0.500 0.735
# Density of states at the Fermi level   0.1403 states/eV per atom
# Total magnetization   4.097 Bohr magnetons per cell



# 2
# CsMnPtSe2 | the Alexandria database | GGA-PBE | optimized geometry
data_CsMnPtSe2
_chemical_formula_sum 'Cs1 Mn1 Pt1 Se2'
_space_group_name_H-M_alt 'P 4/m m m'
_space_group_IT_number 123
_space_group_name_Hall '-P 4 2'
_cell_length_a 4.526
_cell_length_b 4.526
_cell_length_c 6.753
_cell_angle_alpha 90.00
_cell_angle_beta 90.00
_cell_angle_gamma 90.00
loop_
_atom_site_label
_atom_site_type_symbol
_atom_site_fract_x
_atom_site_fract_y
_atom_site_fract_z
Cs1 Cs 0.000 0.000 0.000
Mn1 Mn 0.000 0.000 0.500
Pt1 Pt 0.500 0.500 0.000
Se1 Se 0.000 0.500 0.500
# Density of states at the Fermi level   1.4954 states/eV per atom
# Total magnetization   0.000 Bohr magnetons per cell



# 3
# Ba2CrTcAg | the Alexandria database | GGA-PBE | optimized geometry
data_Ba2CrTcAg
_chemical_formula_sum 'Ba2 Cr1 Tc1 Ag1'
_space_group_name_H-M_alt 'P 4/m m m'
_space_group_IT_number 123
_space_group_name_Hall '-P 4 2'
_cell_length_a 5.704
_cell_length_b 5.704
_cell_length_c 5.204
_cell_angle_alpha 90.00
_cell_angle_beta 90.00
_cell_angle_gamma 90.00
loop_
_atom_site_label
_atom_site_type_symbol
_atom_site_fract_x
_atom_site_fract_y
_atom_site_fract_z
Ba1 Ba 0.000 0.500 0.000
Cr1 Cr 0.000 0.000 0.500
Tc1 Tc 0.500 0.500 0.000
Ag1 Ag 0.500 0.500 0.500
# Density of states at the Fermi level   2.2827 states/eV per atom
# ΔH_f (0 K)   1513 meV per atom
# Total magnetization   1.225 Bohr magnetons per cell



# 4
# NdThSc2 | the Alexandria database | GGA-PBE | optimized geometry
data_NdThSc2
_chemical_formula_sum 'Nd3 Th3 Sc6'
_space_group_name_H-M_alt 'R -3 m'
_space_group_IT_number 166
_space_group_name_Hall '-R 3 2"'
_cell_length_a 3.4860
_cell_length_b 3.4860
_cell_length_c 32.7555
_cell_angle_alpha 90.00
_cell_angle_beta 90.00
_cell_angle_gamma 120.00
loop_
_atom_site_label
_atom_site_type_symbol
_atom_site_fract_x
_atom_site_fract_y
_atom_site_fract_z
Nd1 Nd 0.0000 0.0000 0.0000
Th1 Th 0.0000 0.0000 0.5000
Sc1 Sc 0.0000 0.0000 0.2475
# Density of states at the Fermi level   1.4865 states/eV per atom
# Polymorph energy (0 for the lowest one)   0.032 eV per atom
# ΔH_f (0 K)   55 meV per atom
# Total magnetization   0.000 Bohr magnetons per cell



# 5
# RbSr3Au | the Alexandria database | GGA-PBE | optimized geometry
data_RbSr3Au
_chemical_formula_sum 'Rb1 Sr3 Au1'
_space_group_name_H-M_alt 'P m -3 m'
_space_group_IT_number 221
_space_group_name_Hall '-P 4 2 3'
_cell_length_a 6.316
_cell_length_b 6.316
_cell_length_c 6.316
_cell_angle_alpha 90.00
_cell_angle_beta 90.00
_cell_angle_gamma 90.00
loop_
_atom_site_label
_atom_site_type_symbol
_atom_site_fract_x
_atom_site_fract_y
_atom_site_fract_z
Rb1 Rb 0.000 0.000 0.000
Sr1 Sr 0.000 0.500 0.500
Au1 Au 0.500 0.500 0.500
# Density of states at the Fermi level   0.8818 states/eV per atom
# Polymorph energy (0 for the lowest one)   0.000 eV per atom
# ΔH_f (0 K)   -295 meV per atom
# Total magnetization   0.000 Bohr magnetons per cell



# 6
# Li7Mg2Cd3 | the Alexandria database | GGA-PBE | optimized geometry
data_Li7Mg2Cd3
_chemical_formula_sum 'Li7 Mg2 Cd3'
_space_group_name_H-M_alt 'P 1 2/m 1'
_space_group_IT_number 10
_space_group_name_Hall '-P 2y'
_cell_length_a 4.758
_cell_length_b 3.049
_cell_length_c 16.454
_cell_angle_alpha 90.00
_cell_angle_beta 98.18
_cell_angle_gamma 90.00
loop_
_atom_site_label
_atom_site_type_symbol
_atom_site_fract_x
_atom_site_fract_y
_atom_site_fract_z
Li1 Li 0.000 0.000 0.000
Li2 Li 0.089 0.500 0.183
Li3 Li 0.268 0.500 0.536
Li4 Li 0.434 0.000 0.863
Mg1 Mg 0.357 0.500 0.708
Cd1 Cd 0.185 0.000 0.375
Cd2 Cd 0.500 0.500 0.000
# Density of states at the Fermi level   0.3065 states/eV per atom
# ΔH_f (0 K)   -107 meV per atom
# Total magnetization   0.000 Bohr magnetons per cell



# 7
# VOs3N | the Alexandria database | GGA-PBE | optimized geometry
data_VOs3N
_chemical_formula_sum 'V1 Os3 N1'
_space_group_name_H-M_alt 'P m -3 m'
_space_group_IT_number 221
_space_group_name_Hall '-P 4 2 3'
_cell_length_a 4.021
_cell_length_b 4.021
_cell_length_c 4.021
_cell_angle_alpha 90.00
_cell_angle_beta 90.00
_cell_angle_gamma 90.00
loop_
_atom_site_label
_atom_site_type_symbol
_atom_site_fract_x
_atom_site_fract_y
_atom_site_fract_z
V1 V 0.000 0.000 0.000
Os1 Os 0.000 0.500 0.500
N1 N 0.500 0.500 0.500
# Density of states at the Fermi level   0.5224 states/eV per atom
# Polymorph energy (0 for the lowest one)   0.000 eV per atom
# Total magnetization   0.000 Bohr magnetons per cell



# 8
# Hg3W | the Alexandria database | GGA-PBE | optimized geometry
data_Hg3W
_chemical_formula_sum 'Hg3 W1'
_space_group_name_H-M_alt 'P 4/m m m'
_space_group_IT_number 123
_space_group_name_Hall '-P 4 2'
_cell_length_a 5.454
_cell_length_b 5.454
_cell_length_c 2.831
_cell_angle_alpha 90.00
_cell_angle_beta 90.00
_cell_angle_gamma 90.00
loop_
_atom_site_label
_atom_site_type_symbol
_atom_site_fract_x
_atom_site_fract_y
_atom_site_fract_z
Hg1 Hg 0.000 0.000 0.000
Hg2 Hg 0.000 0.500 0.500
W1 W 0.500 0.500 0.000
# Density of states at the Fermi level   0.3398 states/eV per atom
# Polymorph energy (0 for the lowest one)   0.337 eV per atom
# ΔH_f (0 K)   789 meV per atom
# Total magnetization   0.952 Bohr magnetons per cell



The records above yield raw total energy values of -5.850 -3.915 -3.824 -6.158 -2.153 -1.718 -9.783 -2.675 eV/atom, respectively.